(1)
# NbAg3Br2F6 GGA-PBE relaxed
# size of the total moment = 0.000 μB per cell
# formation energy from raw total energies = -1.8247 eV per atom
data_NbAg3Br2F6
_symmetry_space_group_name_H-M 'C 1 2/m 1'
_symmetry_Int_Tables_number 12
_cell_length_a 14.2841
_cell_length_b 7.3072
_cell_length_c 4.9705
_cell_angle_alpha 90.00
_cell_angle_beta 96.71
_cell_angle_gamma 90.00
loop_
_symmetry_equiv_pos_as_xyz
'x,y,z'
'-x,-y,-z'
'-x,y,-z'
'x,-y,z'
'x+1/2,y+1/2,z'
'-x+1/2,-y+1/2,-z'
'-x+1/2,y+1/2,-z'
'x+1/2,-y+1/2,z'
loop_
_atom_site_label
_atom_site_type_symbol
_atom_site_fract_x
_atom_site_fract_y
_atom_site_fract_z
Nb1 Nb 0.0000 0.0000 0.0000
Ag1 Ag 0.0000 0.5000 0.5000
Ag2 Ag 0.2500 0.2500 0.0000
Br1 Br 0.1826 0.5000 0.6672
F1 F 0.0594 0.1903 0.2335
F2 F 0.1095 0.0000 0.8015



(2)
# K2ZrBr2 GGA-PBE relaxed
# size of the total moment = 7.007 μB per cell
# formation energy from raw total energies = -0.1364 eV per atom
data_K2ZrBr2
_symmetry_space_group_name_H-M 'I 4/m m m'
_symmetry_Int_Tables_number 139
_symmetry_space_group_name_Hall '-I 4 2'
_cell_length_a 5.9782
_cell_length_b 5.9782
_cell_length_c 11.6370
_cell_angle_alpha 90.00
_cell_angle_beta 90.00
_cell_angle_gamma 90.00
loop_
_atom_site_label
_atom_site_type_symbol
_atom_site_fract_x
_atom_site_fract_y
_atom_site_fract_z
K1 K 0.0000 0.0000 0.1595
Zr1 Zr 0.0000 0.0000 0.5000
Br1 Br 0.0000 0.5000 0.2500



(3)
# ErZn2Ag4 GGA-PBE relaxed
# size of the total moment = 0.000 μB per cell
# energy of formation = -0.174 eV/atom
data_ErZn2Ag4
_symmetry_space_group_name_H-M 'C 1 2/m 1'
_symmetry_Int_Tables_number 12
_cell_length_a 8.7240
_cell_length_b 6.8971
_cell_length_c 5.3052
_cell_angle_alpha 90.00
_cell_angle_beta 125.78
_cell_angle_gamma 90.00
loop_
_symmetry_equiv_pos_as_xyz
'x,y,z'
'-x,-y,-z'
'-x,y,-z'
'x,-y,z'
'x+1/2,y+1/2,z'
'-x+1/2,-y+1/2,-z'
'-x+1/2,y+1/2,-z'
'x+1/2,-y+1/2,z'
loop_
_atom_site_label
_atom_site_type_symbol
_atom_site_fract_x
_atom_site_fract_y
_atom_site_fract_z
Er1 Er 0.0000 0.0000 0.0000
Zn1 Zn 0.0011 0.5000 0.7537
Ag1 Ag 0.1959 0.1998 0.6969



(4)
# Rb2Sn3HgI8 GGA-PBE relaxed
# size of the total moment = 0.000 μB per cell
# formation energy from raw total energies = -0.7158 eV per atom
data_Rb2Sn3HgI8
_symmetry_space_group_name_H-M 'R 3 m'
_symmetry_Int_Tables_number 160
_symmetry_space_group_name_Hall 'R 3 -2"'
_cell_length_a 9.4828
_cell_length_b 9.4828
_cell_length_c 27.9256
_cell_angle_alpha 90.00
_cell_angle_beta 90.00
_cell_angle_gamma 120.00
loop_
_atom_site_label
_atom_site_type_symbol
_atom_site_fract_x
_atom_site_fract_y
_atom_site_fract_z
Rb1 Rb 0.0000 0.0000 0.0000
Rb2 Rb 0.0000 0.0000 0.3633
Sn1 Sn 0.0086 0.5043 0.5019
Hg1 Hg 0.0000 0.0000 0.6430
I1 I 0.0000 0.0000 0.2325
I2 I 0.0000 0.0000 0.7718
I3 I 0.0259 0.5129 0.7671
I4 I 0.1773 0.3546 0.5652



(5)
# BeFe2Pt5 GGA-PBE relaxed
# size of the total moment = 15.930 μB per cell
# energy of formation = -0.311 eV/atom
data_BeFe2Pt5
_symmetry_space_group_name_H-M 'P b a m'
_symmetry_Int_Tables_number 55
_cell_length_a 5.4053
_cell_length_b 10.5239
_cell_length_c 3.9570
_cell_angle_alpha 90.00
_cell_angle_beta 90.00
_cell_angle_gamma 90.00
loop_
_symmetry_equiv_pos_as_xyz
'x,y,z'
'-x,-y,-z'
'-x,-y,z'
'x,y,-z'
'x+1/2,-y+1/2,-z'
'-x+1/2,y+1/2,z'
'-x+1/2,y+1/2,-z'
'x+1/2,-y+1/2,z'
loop_
_atom_site_label
_atom_site_type_symbol
_atom_site_fract_x
_atom_site_fract_y
_atom_site_fract_z
Be1 Be 0.0000 0.0000 0.0000
Fe1 Fe 0.1845 0.3603 0.5000
Pt1 Pt 0.0000 0.5000 0.0000
Pt2 Pt 0.0648 0.7637 0.0000
Pt3 Pt 0.1841 0.1007 0.5000



(6)
# CrCdCo2 GGA-PBE relaxed
# size of the total moment = 2.207 μB per cell
# energy of formation = 0.383 eV/atom
data_CrCdCo2
_symmetry_space_group_name_H-M 'P 4 m m'
_symmetry_Int_Tables_number 99
_cell_length_a 2.9339
_cell_length_b 2.9339
_cell_length_c 6.2951
_cell_angle_alpha 90.00
_cell_angle_beta 90.00
_cell_angle_gamma 90.00
loop_
_symmetry_equiv_pos_as_xyz
'x,y,z'
'-y,x,z'
'-x,-y,z'
'y,-x,z'
'-x,y,z'
'y,x,z'
'x,-y,z'
'-y,-x,z'
loop_
_atom_site_label
_atom_site_type_symbol
_atom_site_fract_x
_atom_site_fract_y
_atom_site_fract_z
Cr1 Cr 0.0000 0.0000 0.0000
Cd1 Cd 0.5000 0.5000 0.3192
Co1 Co 0.0000 0.0000 0.6120
Co2 Co 0.5000 0.5000 0.8227



(7)
# CePmDy2Er4 GGA-PBE relaxed
# size of the total moment = 0.953 μB per cell
# energy of formation = 0.046 eV/atom
data_CePmDy2Er4
_symmetry_space_group_name_H-M 'P 4/m m m'
_symmetry_Int_Tables_number 123
_symmetry_space_group_name_Hall '-P 4 2'
_cell_length_a 5.0156
_cell_length_b 5.0156
_cell_length_c 9.9361
_cell_angle_alpha 90.00
_cell_angle_beta 90.00
_cell_angle_gamma 90.00
loop_
_atom_site_label
_atom_site_type_symbol
_atom_site_fract_x
_atom_site_fract_y
_atom_site_fract_z
Ce1 Ce 0.0000 0.0000 0.0000
Pm1 Pm 0.5000 0.5000 0.5000
Dy1 Dy 0.0000 0.0000 0.5000
Dy2 Dy 0.5000 0.5000 0.0000
Er1 Er 0.0000 0.5000 0.2471



(8)
# K2PmI4 GGA-PBE relaxed
# size of the total moment = 1.079 μB per cell
# formation energy from raw total energies = -1.2582 eV per atom
data_K2PmI4
_symmetry_space_group_name_H-M 'I 4/m m m'
_symmetry_Int_Tables_number 139
_symmetry_space_group_name_Hall '-I 4 2'
_cell_length_a 6.1597
_cell_length_b 6.1597
_cell_length_c 18.0282
_cell_angle_alpha 90.00
_cell_angle_beta 90.00
_cell_angle_gamma 90.00
loop_
_atom_site_label
_atom_site_type_symbol
_atom_site_fract_x
_atom_site_fract_y
_atom_site_fract_z
K1 K 0.0000 0.0000 0.1341
Pm1 Pm 0.0000 0.0000 0.5000
I1 I 0.0000 0.0000 0.3252
I2 I 0.0000 0.5000 0.0000



(9)
# TbNd3Co GGA-PBE relaxed
# size of the total moment = 0.001 μB per cell
# energy of formation = -0.015 eV/atom
data_TbNd3Co
_symmetry_space_group_name_H-M 'I m a 2'
_symmetry_Int_Tables_number 46
_cell_length_a 9.3228
_cell_length_b 7.5082
_cell_length_c 8.6690
_cell_angle_alpha 90.00
_cell_angle_beta 90.00
_cell_angle_gamma 90.00
loop_
_symmetry_equiv_pos_as_xyz
'x,y,z'
'-x,-y,z'
'-x+1/2,y,z'
'x+1/2,-y,z'
'x+1/2,y+1/2,z+1/2'
'-x+1/2,-y+1/2,z+1/2'
'-x,y+1/2,z+1/2'
'x,-y+1/2,z+1/2'
loop_
_atom_site_label
_atom_site_type_symbol
_atom_site_fract_x
_atom_site_fract_y
_atom_site_fract_z
Tb1 Tb 0.2500 0.0333 0.0000
Nd1 Nd 0.0369 0.7503 0.2503
Nd2 Nd 0.2500 0.0201 0.5007
Co1 Co 0.2500 0.2491 0.2504



(10)
# K2BaRe GGA-PBE relaxed
# size of the total moment = 2.996 μB per cell
# energy of formation = 1.310 eV/atom
data_K2BaRe
_symmetry_space_group_name_H-M 'P 4/m m m'
_symmetry_Int_Tables_number 123
_symmetry_space_group_name_Hall '-P 4 2'
_cell_length_a 4.9787
_cell_length_b 4.9787
_cell_length_c 6.5027
_cell_angle_alpha 90.00
_cell_angle_beta 90.00
_cell_angle_gamma 90.00
loop_
_atom_site_label
_atom_site_type_symbol
_atom_site_fract_x
_atom_site_fract_y
_atom_site_fract_z
K1 K 0.0000 0.5000 0.0000
Ba1 Ba 0.0000 0.0000 0.5000
Re1 Re 0.5000 0.5000 0.5000



(11)
# BaTl2Ag GGA-PBE relaxed
# size of the total moment = 0.000 μB per cell
# energy of formation = -0.165 eV/atom
data_BaTl2Ag
_symmetry_space_group_name_H-M 'P 1 2/m 1'
_symmetry_Int_Tables_number 10
_cell_length_a 4.3074
_cell_length_b 4.9536
_cell_length_c 6.3102
_cell_angle_alpha 90.00
_cell_angle_beta 103.54
_cell_angle_gamma 90.00
loop_
_symmetry_equiv_pos_as_xyz
'x,y,z'
'-x,-y,-z'
'-x,y,-z'
'x,-y,z'
loop_
_atom_site_label
_atom_site_type_symbol
_atom_site_fract_x
_atom_site_fract_y
_atom_site_fract_z
Ba1 Ba 0.0000 0.0000 0.0000
Tl1 Tl 0.3296 0.5000 0.7001
Ag1 Ag 0.5000 0.0000 0.5000



(12)
# Al2CuSb GGA-PBE relaxed
# size of the total moment = 0.000 μB per cell
# formation energy from raw total energies = 0.1846 eV per atom
data_Al2CuSb
_symmetry_space_group_name_H-M 'C 1 2/m 1'
_symmetry_Int_Tables_number 12
_cell_length_a 5.4212
_cell_length_b 10.7466
_cell_length_c 3.2536
_cell_angle_alpha 90.00
_cell_angle_beta 126.67
_cell_angle_gamma 90.00
loop_
_symmetry_equiv_pos_as_xyz
'x,y,z'
'-x,-y,-z'
'-x,y,-z'
'x,-y,z'
'x+1/2,y+1/2,z'
'-x+1/2,-y+1/2,-z'
'-x+1/2,y+1/2,-z'
'x+1/2,-y+1/2,z'
loop_
_atom_site_label
_atom_site_type_symbol
_atom_site_fract_x
_atom_site_fract_y
_atom_site_fract_z
Al1 Al 0.2500 0.2500 0.0000
Cu1 Cu 0.0000 0.0000 0.5000
Sb1 Sb 0.0000 0.5000 0.5000



Here are the calculated volume numbers, same order: 258, 208, 129, 725, 113, 54, 250, 342, 152, 161, 131, 76 (Å³/f.u.).
Here are the calculated mass density numbers, same order: 4.45, 2.63, 9.36, 3.99, 16.17, 8.65, 8.50, 3.55, 7.12, 4.14, 8.30, 5.23 (Mg/m³).
Here are the calculated raw total energy numbers, same order: -4.5911, -2.9542, -2.8186, -2.6191, -6.6678, -5.8043, -4.7214, -3.1363, -5.2233, -2.8314, -2.5416, -3.7414 (eV/atom).